No. 1
This record from Alexandria describes TaAlV2 after structural relaxation. The functional is PBE-GGA. Values from VASP.

Values from the calculation:
- E_form: -0.1241 eV/atom
- Spin magnetization: 0.00 μB/cell
- DOS(E_F): 3.61 states/eV/f.u.

Cell and atoms, written as Quantum ESPRESSO input:
```
&SYSTEM
  ibrav = 0, nat = 4, ntyp = 3
/
ATOMIC_SPECIES
V 50.94 V.upf
Al 26.98 Al.upf
Ta 180.95 Ta.upf
CELL_PARAMETERS angstrom
-1.873 -2.409 1.029
1.009 -1.831 -2.450
4.415 -2.014 3.324
ATOMIC_POSITIONS crystal
V 0.000 0.000 0.749
V 0.000 0.000 0.251
Al 0.500 0.500 0.000
Ta 0.500 0.500 0.500
```

No. 2
This record from Alexandria describes Ta6AlV after structural relaxation. The functional is PBE-GGA. Values from VASP.

Values from the calculation:
- E_form: -0.0630 eV/atom
- Spin magnetization: 0.00 μB/cell
- DOS(E_F): 8.74 states/eV/f.u.

Cell and atoms, written as Quantum ESPRESSO input:
```
&SYSTEM
  ibrav = 0, nat = 8, ntyp = 3
/
ATOMIC_SPECIES
Ta 180.95 Ta.upf
Al 26.98 Al.upf
V 50.94 V.upf
CELL_PARAMETERS angstrom
-0.526 1.501 -7.161
-4.649 -3.810 -4.212
-3.886 1.227 -3.213
ATOMIC_POSITIONS crystal
Ta 0.000 0.500 0.748
Ta 0.753 0.000 0.747
Ta 0.500 0.247 0.253
Ta 0.247 0.000 0.253
Ta 0.000 0.500 0.252
Ta 0.500 0.753 0.747
Al 0.500 0.500 0.500
V 0.000 0.000 0.000
```

No. 3
This record from Alexandria describes Ta3Al4V4 after structural relaxation. The functional is PBE-GGA. Values from VASP.

Values from the calculation:
- E_form: 0.1866 eV/atom
- Spin magnetization: 0.04 μB/cell
- DOS(E_F): 10.92 states/eV/f.u.

Cell and atoms, written as Quantum ESPRESSO input:
```
&SYSTEM
  ibrav = 0, nat = 11, ntyp = 3
/
ATOMIC_SPECIES
Ta 180.95 Ta.upf
Al 26.98 Al.upf
V 50.94 V.upf
CELL_PARAMETERS angstrom
-1.830 3.074 2.654
-4.733 -2.801 -0.018
5.445 -3.830 4.453
ATOMIC_POSITIONS crystal
Ta 0.113 0.113 0.225
Ta 0.887 0.887 0.775
Ta 0.000 0.500 0.000
Al 0.315 0.071 0.630
Al 0.685 0.441 0.370
Al 0.685 0.929 0.370
Al 0.315 0.559 0.630
V 0.166 0.666 0.332
V 0.834 0.334 0.668
V 0.500 0.769 0.000
V 0.500 0.231 0.000
```

No. 4
This record from Alexandria describes Ta3AlV8 after structural relaxation. The functional is PBE-GGA. Values from VASP.

Values from the calculation:
- E_form: -0.0686 eV/atom
- Spin magnetization: 0.00 μB/cell
- DOS(E_F): 13.85 states/eV/f.u.

Cell and atoms, written as Quantum ESPRESSO input:
```
&SYSTEM
  ibrav = 0, nat = 12, ntyp = 3
/
ATOMIC_SPECIES
Ta 180.95 Ta.upf
Al 26.98 Al.upf
V 50.94 V.upf
CELL_PARAMETERS angstrom
-1.821 4.125 2.146
-3.171 -0.375 3.839
4.752 1.321 7.301
ATOMIC_POSITIONS crystal
Ta 0.375 0.375 0.875
Ta 0.000 0.000 0.999
Ta 0.499 0.499 0.502
Al 0.874 0.874 0.378
V 0.938 0.438 0.185
V 0.435 0.939 0.688
V 0.438 0.438 0.185
V 0.939 0.939 0.688
V 0.186 0.186 0.442
V 0.688 0.688 0.935
V 0.438 0.938 0.185
V 0.939 0.435 0.688
```

No. 5
This record from Alexandria describes Ta3AlV after structural relaxation. The functional is PBE-GGA. Values from VASP.

Values from the calculation:
- E_form: 1.4548 eV/atom
- Excess energy over the best structure of this formula in the dataset: 394 meV/atom
- Spin magnetization: 2.30 μB/cell
- DOS(E_F): 6.44 states/eV/f.u.

Cell and atoms, written as Quantum ESPRESSO input:
```
&SYSTEM
  ibrav = 0, nat = 5, ntyp = 3
/
ATOMIC_SPECIES
V 50.94 V.upf
Al 26.98 Al.upf
Ta 180.95 Ta.upf
CELL_PARAMETERS angstrom
4.693 0.000 0.000
0.000 4.693 0.000
0.000 0.000 4.693
ATOMIC_POSITIONS crystal
V 0.500 0.500 0.500
Al 0.000 0.000 0.000
Ta 0.000 0.500 0.000
Ta 0.000 0.000 0.500
Ta 0.500 0.000 0.000
```

No. 6
This record from Alexandria describes TaAlW2 after structural relaxation. The functional is PBE-GGA. Values from VASP.

Values from the calculation:
- E_form: -0.0240 eV/atom
- Spin magnetization: 0.00 μB/cell
- DOS(E_F): 1.81 states/eV/f.u.

Cell and atoms, written as Quantum ESPRESSO input:
```
&SYSTEM
  ibrav = 0, nat = 4, ntyp = 3
/
ATOMIC_SPECIES
Al 26.98 Al.upf
W 183.84 W.upf
Ta 180.95 Ta.upf
CELL_PARAMETERS angstrom
-4.054 -3.319 0.787
2.341 -0.156 -4.750
1.374 -2.396 0.219
ATOMIC_POSITIONS crystal
Al 0.500 0.000 0.500
W 0.000 0.000 0.000
W 0.500 0.500 0.000
Ta 0.000 0.500 0.500
```

No. 7
This record from Alexandria describes TaAlW2 after structural relaxation. The functional is PBE-GGA. Values from VASP.

Values from the calculation:
- E_form: 0.0099 eV/atom
- Spin magnetization: 0.00 μB/cell
- DOS(E_F): 2.99 states/eV/f.u.

Cell and atoms, written as Quantum ESPRESSO input:
```
&SYSTEM
  ibrav = 0, nat = 4, ntyp = 3
/
ATOMIC_SPECIES
Al 26.98 Al.upf
W 183.84 W.upf
Ta 180.95 Ta.upf
CELL_PARAMETERS angstrom
3.330 0.000 0.000
0.000 3.330 0.000
0.000 0.000 5.920
ATOMIC_POSITIONS crystal
Al 0.000 0.000 0.492
W 0.000 0.000 0.005
W 0.500 0.500 0.254
Ta 0.500 0.500 0.749
```

No. 8
This record from Alexandria describes TaAlW2 after structural relaxation. The functional is PBE-GGA. Values from VASP.

Values from the calculation:
- E_form: -0.0330 eV/atom
- Spin magnetization: 0.00 μB/cell
- DOS(E_F): 1.49 states/eV/f.u.

Cell and atoms, written as Quantum ESPRESSO input:
```
&SYSTEM
  ibrav = 0, nat = 4, ntyp = 3
/
ATOMIC_SPECIES
Al 26.98 Al.upf
W 183.84 W.upf
Ta 180.95 Ta.upf
CELL_PARAMETERS angstrom
4.538 0.000 0.000
0.000 2.774 -0.008
0.000 0.980 5.224
ATOMIC_POSITIONS crystal
Al 0.000 0.450 0.501
W 0.000 0.026 0.012
W 0.500 0.258 0.240
Ta 0.500 0.767 0.747
```

No. 9
This record from Alexandria describes Ta2Al2W after structural relaxation. The functional is PBE-GGA. Values from VASP.

Values from the calculation:
- E_form: 0.3369 eV/atom
- Excess energy over the best structure of this formula in the dataset: 445 meV/atom
- Spin magnetization: 0.00 μB/cell
- DOS(E_F): 3.65 states/eV/f.u.

Cell and atoms, written as Quantum ESPRESSO input:
```
&SYSTEM
  ibrav = 0, nat = 5, ntyp = 3
/
ATOMIC_SPECIES
Al 26.98 Al.upf
W 183.84 W.upf
Ta 180.95 Ta.upf
CELL_PARAMETERS angstrom
-0.359 1.985 -2.818
-2.987 1.235 1.251
2.016 7.096 2.611
ATOMIC_POSITIONS crystal
Al 0.750 0.250 0.500
Al 0.250 0.750 0.500
W 0.000 0.000 0.000
Ta 0.403 0.403 0.194
Ta 0.597 0.597 0.806
```

No. 10
This record from Alexandria describes TaAlW2 after structural relaxation. The functional is PBE-GGA. Values from VASP.

Values from the calculation:
- E_form: 0.8970 eV/atom
- Spin magnetization: 0.00 μB/cell
- DOS(E_F): 3.55 states/eV/f.u.

Cell and atoms, written as Quantum ESPRESSO input:
```
&SYSTEM
  ibrav = 0, nat = 8, ntyp = 3
/
ATOMIC_SPECIES
Al 26.98 Al.upf
W 183.84 W.upf
Ta 180.95 Ta.upf
CELL_PARAMETERS angstrom
7.241 0.000 0.000
0.000 7.241 0.000
3.620 3.620 2.705
ATOMIC_POSITIONS crystal
Al 0.500 0.500 0.000
Al 0.250 0.750 0.500
W 0.615 0.125 0.250
W 0.135 0.625 0.250
W 0.375 0.385 0.750
W 0.875 0.865 0.750
Ta 0.000 0.000 0.000
Ta 0.750 0.250 0.500
```

No. 11
This record from Alexandria describes TaAlW2 after structural relaxation. The functional is PBE-GGA. Values from VASP.

Values from the calculation:
- E_form: -0.0609 eV/atom
- Spin magnetization: 0.00 μB/cell
- DOS(E_F): 2.17 states/eV/f.u.

Cell and atoms, written as Quantum ESPRESSO input:
```
&SYSTEM
  ibrav = 0, nat = 4, ntyp = 3
/
ATOMIC_SPECIES
Al 26.98 Al.upf
W 183.84 W.upf
Ta 180.95 Ta.upf
CELL_PARAMETERS angstrom
-1.214 1.222 -2.177
1.536 -2.111 -0.945
-6.981 -5.452 0.833
ATOMIC_POSITIONS crystal
Al 0.500 0.500 0.250
W 0.000 0.000 0.010
W 0.000 0.000 0.490
Ta 0.500 0.500 0.750
```

No. 12
This record from Alexandria describes Ta2Al2W after structural relaxation. The functional is PBE-GGA. Values from VASP.

Values from the calculation:
- E_form: 0.5310 eV/atom
- Excess energy over the best structure of this formula in the dataset: 639 meV/atom
- Spin magnetization: 0.00 μB/cell
- DOS(E_F): 4.90 states/eV/f.u.

Cell and atoms, written as Quantum ESPRESSO input:
```
&SYSTEM
  ibrav = 0, nat = 10, ntyp = 3
/
ATOMIC_SPECIES
Al 26.98 Al.upf
W 183.84 W.upf
Ta 180.95 Ta.upf
CELL_PARAMETERS angstrom
7.079 0.000 0.000
0.000 7.079 0.000
0.000 0.000 3.546
ATOMIC_POSITIONS crystal
Al 0.159 0.659 0.500
Al 0.659 0.841 0.500
Al 0.841 0.341 0.500
Al 0.341 0.159 0.500
W 0.000 0.000 0.000
W 0.500 0.500 0.000
Ta 0.358 0.858 0.000
Ta 0.858 0.642 0.000
Ta 0.642 0.142 0.000
Ta 0.142 0.358 0.000
```

No. 13
This record from Alexandria describes TaAlW2 after structural relaxation. The functional is PBE-GGA. Values from VASP.

Values from the calculation:
- E_form: 0.1495 eV/atom
- Spin magnetization: 0.00 μB/cell
- DOS(E_F): 2.92 states/eV/f.u.

Cell and atoms, written as Quantum ESPRESSO input:
```
&SYSTEM
  ibrav = 0, nat = 4, ntyp = 3
/
ATOMIC_SPECIES
Al 26.98 Al.upf
W 183.84 W.upf
Ta 180.95 Ta.upf
CELL_PARAMETERS angstrom
5.203 -0.024 0.000
-2.251 4.691 0.000
0.000 0.000 2.717
ATOMIC_POSITIONS crystal
Al 0.500 0.000 0.500
W 0.000 0.000 0.000
W 0.500 0.500 0.000
Ta 0.000 0.500 0.500
```

No. 14
This record from Alexandria describes TaAlW2 after structural relaxation. The functional is PBE-GGA. Values from VASP.

Values from the calculation:
- E_form: -0.0429 eV/atom
- Spin magnetization: 0.00 μB/cell
- DOS(E_F): 2.38 states/eV/f.u.

Cell and atoms, written as Quantum ESPRESSO input:
```
&SYSTEM
  ibrav = 0, nat = 4, ntyp = 3
/
ATOMIC_SPECIES
Al 26.98 Al.upf
W 183.84 W.upf
Ta 180.95 Ta.upf
CELL_PARAMETERS angstrom
-4.686 2.052 -1.255
-3.304 0.914 -4.000
-3.328 -2.975 -0.442
ATOMIC_POSITIONS crystal
Al 0.494 0.494 0.507
W 0.007 0.007 0.993
W 0.739 0.739 0.761
Ta 0.260 0.260 0.240
```

No. 15
This record from Alexandria describes TaAlW after structural relaxation. The functional is PBE-GGA. Values from VASP.

Values from the calculation:
- E_form: -0.0054 eV/atom
- Excess energy over the best structure of this formula in the dataset: 101 meV/atom
- Spin magnetization: 0.00 μB/cell
- DOS(E_F): 1.16 states/eV/f.u.

Cell and atoms, written as Quantum ESPRESSO input:
```
&SYSTEM
  ibrav = 0, nat = 3, ntyp = 3
/
ATOMIC_SPECIES
Al 26.98 Al.upf
W 183.84 W.upf
Ta 180.95 Ta.upf
CELL_PARAMETERS angstrom
-2.938 3.954 0.491
-3.087 0.152 3.868
4.674 -0.211 -1.619
ATOMIC_POSITIONS crystal
Al 0.002 0.002 0.000
W 0.663 0.663 0.000
Ta 0.334 0.334 0.000
```

No. 16
This record from Alexandria describes TaAlW after structural relaxation. The functional is PBE-GGA. Values from VASP.

Values from the calculation:
- E_form: 0.3581 eV/atom
- Excess energy over the best structure of this formula in the dataset: 465 meV/atom
- Spin magnetization: 0.00 μB/cell
- DOS(E_F): 2.48 states/eV/f.u.

Cell and atoms, written as Quantum ESPRESSO input:
```
&SYSTEM
  ibrav = 0, nat = 6, ntyp = 3
/
ATOMIC_SPECIES
Ta 180.95 Ta.upf
Al 26.98 Al.upf
W 183.84 W.upf
CELL_PARAMETERS angstrom
-1.269 3.537 2.440
-0.903 -0.494 4.361
5.414 2.245 3.677
ATOMIC_POSITIONS crystal
Ta 0.427 0.427 0.719
Ta 0.573 0.573 0.281
Al 0.282 0.282 0.153
Al 0.718 0.718 0.847
W 0.141 0.141 0.577
W 0.859 0.859 0.423
```

No. 17
This record from Alexandria describes TaAlW after structural relaxation. The functional is PBE-GGA. Values from VASP.

Values from the calculation:
- E_form: 0.7283 eV/atom
- Excess energy over the best structure of this formula in the dataset: 835 meV/atom
- Spin magnetization: 0.00 μB/cell
- DOS(E_F): 2.26 states/eV/f.u.

Cell and atoms, written as Quantum ESPRESSO input:
```
&SYSTEM
  ibrav = 0, nat = 3, ntyp = 3
/
ATOMIC_SPECIES
Al 26.98 Al.upf
W 183.84 W.upf
Ta 180.95 Ta.upf
CELL_PARAMETERS angstrom
-1.695 -3.896 1.114
0.496 -3.455 -2.667
2.657 -3.302 1.154
ATOMIC_POSITIONS crystal
Al 0.000 0.000 0.000
W 0.750 0.750 0.750
Ta 0.500 0.500 0.500
```

No. 18
This record from Alexandria describes TaAlW2 after structural relaxation. The functional is PBE-GGA. Values from VASP.

Values from the calculation:
- E_form: 0.0665 eV/atom
- Spin magnetization: 0.00 μB/cell
- DOS(E_F): 2.29 states/eV/f.u.

Cell and atoms, written as Quantum ESPRESSO input:
```
&SYSTEM
  ibrav = 0, nat = 4, ntyp = 3
/
ATOMIC_SPECIES
Al 26.98 Al.upf
W 183.84 W.upf
Ta 180.95 Ta.upf
CELL_PARAMETERS angstrom
-3.765 0.527 -2.449
-2.083 -3.612 -1.749
-3.986 -1.338 1.665
ATOMIC_POSITIONS crystal
Al 0.500 0.500 0.500
W 0.000 0.000 0.000
W 0.750 0.750 0.750
Ta 0.250 0.250 0.250
```

No. 19
This record from Alexandria describes Ta4AlW after structural relaxation. The functional is PBE-GGA. Values from VASP.

Values from the calculation:
- E_form: 0.4142 eV/atom
- Excess energy over the best structure of this formula in the dataset: 0 meV/atom
- Spin magnetization: 0.00 μB/cell
- DOS(E_F): 10.68 states/eV/f.u.

Cell and atoms, written as Quantum ESPRESSO input:
```
&SYSTEM
  ibrav = 0, nat = 6, ntyp = 3
/
ATOMIC_SPECIES
Ta 180.95 Ta.upf
Al 26.98 Al.upf
W 183.84 W.upf
CELL_PARAMETERS angstrom
0.746 -4.620 -2.649
-4.237 -2.815 -1.743
-1.060 -0.282 -5.264
ATOMIC_POSITIONS crystal
Ta 0.625 0.625 0.126
Ta 0.625 0.126 0.625
Ta 0.625 0.625 0.625
Ta 0.126 0.625 0.625
Al 0.000 0.000 0.000
W 0.250 0.250 0.250
```

No. 20
This record from Alexandria describes TaAlW2 after structural relaxation. The functional is PBE-GGA. Values from VASP.

Values from the calculation:
- E_form: 0.0058 eV/atom
- Spin magnetization: 0.00 μB/cell
- DOS(E_F): 1.74 states/eV/f.u.

Cell and atoms, written as Quantum ESPRESSO input:
```
&SYSTEM
  ibrav = 0, nat = 4, ntyp = 3
/
ATOMIC_SPECIES
Al 26.98 Al.upf
W 183.84 W.upf
Ta 180.95 Ta.upf
CELL_PARAMETERS angstrom
3.477 0.000 0.000
0.000 4.318 0.000
0.000 0.000 4.349
ATOMIC_POSITIONS crystal
Al 0.500 0.000 0.500
W 0.000 0.000 0.000
W 0.500 0.500 0.000
Ta 0.000 0.500 0.500
```